{"formula": "Ho6AuSe3S2", "functional": "PBE", "state": "relaxed", "lattice_angstrom": [[-1.326, -6.833, 0.203], [3.646, 2.680, -5.294], [4.825, 0.399, 5.054]], "species": ["Ho", "Ho", "Ho", "Ho", "Ho", "Ho", "Au", "Se", "Se", "Se", "S", "S"], "frac_coords": [[0.922, 0.581, 0.762], [0.739, 0.739, 0.238], [0.078, 0.419, 0.238], [0.581, 0.922, 0.762], [0.261, 0.261, 0.762], [0.419, 0.078, 0.238], [0.000, 0.000, 0.000], [0.167, 0.833, 0.500], [0.833, 0.167, 0.500], [0.500, 0.500, 0.500], [0.334, 0.666, 0.000], [0.666, 0.334, 0.000]], "energy_ev_per_cell": -69.53, "magmom_total_mub_per_cell": 0.000, "sg": "C2/m (12)"}

---

{"formula": "GdRuN2", "functional": "PBE", "state": "relaxed", "lattice_angstrom": [[-2.331, -0.960, -2.236], [0.801, -0.258, -3.263], [0.752, -5.047, -1.157]], "species": ["Ru", "Gd", "N", "N"], "frac_coords": [[0.000, 0.000, 0.000], [0.500, 0.500, 0.500], [0.265, 0.265, 0.206], [0.735, 0.735, 0.794]], "energy_ev_per_cell": -42.27, "magmom_total_mub_per_cell": 6.028, "sg": "R-3m (166)"}